No. 1
The following is a DFT calculation (PBE) of a geometry-optimized Sr4ZrRh structure.

a b c (Å): 9.526 9.526 9.526
angles (deg): 90.00 90.00 90.00
Space group F-43m (No. 216)
One atom of each set of equivalent atoms:
Sr1 0.125 0.125 0.125
Zr1 0.250 0.250 0.750
Rh1 0.000 0.000 0.500

Properties
VASP energy: -2.716 eV per atom
Size of the total moment: 16.9 Bohr magnetons per cell
DFT formation energy: 611 kJ/mol of formula units

=====

No. 2
The following is a DFT calculation (PBE) of a geometry-optimized Sr2ZrRh structure.

a b c (Å): 3.5864 3.5864 31.2597
angles (deg): 90.00 90.00 120.00
Space group R-3m (No. 166, hexagonal axes)
One atom of each set of equivalent atoms:
Sr1 0.0000 0.0000 0.2345
Zr1 0.0000 0.0000 0.0000
Rh1 0.0000 0.0000 0.5000

Properties
VASP energy: -4.413 eV per atom
Size of the total moment: 4.5 Bohr magnetons per cell
DFT formation energy: 156 kJ/mol of formula units
Energy relative to the lowest polymorph listed for this composition: 54.3 kJ/mol of atoms

=====

No. 3
The following is a DFT calculation (PBE) of a geometry-optimized Sr2ZrRh structure.

a b c (Å): 3.459 3.459 9.465
angles (deg): 90.00 90.00 90.00
Space group P4/mmm (No. 123)
One atom of each set of equivalent atoms:
Sr1 0.000 0.000 0.199
Zr1 0.500 0.500 0.500
Rh1 0.500 0.500 0.000

Properties
VASP energy: -4.514 eV per atom
Size of the total moment: 0.0 Bohr magnetons per cell
DFT formation energy: 117 kJ/mol of formula units
Energy relative to the lowest polymorph listed for this composition: 44.5 kJ/mol of atoms

=====

No. 4
The following is a DFT calculation (PBE) of a geometry-optimized Sr2ZrRh structure.

a b c (Å): 3.741 5.837 11.258
angles (deg): 90.00 90.00 90.00
Space group Imm2 (No. 44)
One atom of each set of equivalent atoms:
Sr1 0.000 0.000 0.000
Sr2 0.000 0.500 0.194
Zr1 0.000 0.500 0.813
Rh1 0.000 0.000 0.464

Properties
VASP energy: -4.856 eV per atom
Size of the total moment: 0.0 Bohr magnetons per cell
DFT formation energy: -16 kJ/mol of formula units
Energy relative to the lowest polymorph listed for this composition: 11.5 kJ/mol of atoms

=====

No. 5
The following is a DFT calculation (PBE) of a geometry-optimized Sr2ZrRh structure.

a b c (Å): 4.337 4.337 10.980
angles (deg): 90.00 90.00 90.00
Space group I4/mmm (No. 139)
One atom of each set of equivalent atoms:
Sr1 0.000 0.500 0.250
Zr1 0.000 0.000 0.000
Rh1 0.000 0.000 0.500

Properties
VASP energy: -4.420 eV per atom
Size of the total moment: 0.0 Bohr magnetons per cell
DFT formation energy: 153 kJ/mol of formula units
Energy relative to the lowest polymorph listed for this composition: 53.6 kJ/mol of atoms

=====

No. 6
The following is a DFT calculation (PBE) of a geometry-optimized Sr2ZrRh structure.

a b c (Å): 3.820 3.716 9.533
angles (deg): 90.00 101.45 90.00
Space group Pm (No. 6)
One atom of each set of equivalent atoms:
Sr1 0.000 0.000 0.000
Sr2 0.307 0.500 0.616
Zr1 0.667 0.000 0.334
Rh1 0.140 0.500 0.280

Properties
VASP energy: -4.975 eV per atom
Size of the total moment: 0.0 Bohr magnetons per cell
DFT formation energy: -62 kJ/mol of formula units
Energy relative to the lowest polymorph listed for this composition: 0.0 kJ/mol of atoms

=====

No. 7
The following is a DFT calculation (PBE) of a geometry-optimized SrZrRh structure.

a b c (Å): 3.495 3.495 12.733
angles (deg): 90.00 90.00 90.00
Space group I4mm (No. 107)
One atom of each set of equivalent atoms:
Sr1 0.000 0.000 0.000
Zr1 0.000 0.000 0.731
Rh1 0.000 0.000 0.317

Properties
VASP energy: -6.082 eV per atom
Size of the total moment: 0.0 Bohr magnetons per cell
DFT formation energy: -64 kJ/mol of formula units
Energy relative to the lowest polymorph listed for this composition: 22.9 kJ/mol of atoms

=====

No. 8
The following is a DFT calculation (PBE) of a geometry-optimized Sr2ZrRh structure.

a b c (Å): 7.693 7.693 7.693
angles (deg): 90.00 90.00 90.00
Space group Fm-3m (No. 225)
One atom of each set of equivalent atoms:
Sr1 0.250 0.250 0.250
Zr1 0.000 0.000 0.000
Rh1 0.000 0.000 0.500

Properties
VASP energy: -4.212 eV per atom
Size of the total moment: 12.3 Bohr magnetons per cell
DFT formation energy: 233 kJ/mol of formula units
Energy relative to the lowest polymorph listed for this composition: 73.7 kJ/mol of atoms

=====

No. 9
The following is a DFT calculation (PBE) of a geometry-optimized Sr2ZrRh structure.

a b c (Å): 11.286 11.286 4.947
angles (deg): 90.00 90.00 90.00
Space group I-42d (No. 122)
One atom of each set of equivalent atoms:
Sr1 0.096 0.250 0.125
Zr1 0.000 0.000 0.500
Rh1 0.000 0.000 0.000

Properties
VASP energy: -4.575 eV per atom
Size of the total moment: 0.0 Bohr magnetons per cell
DFT formation energy: 93 kJ/mol of formula units
Energy relative to the lowest polymorph listed for this composition: 38.6 kJ/mol of atoms

=====

No. 10
The following is a DFT calculation (PBE) of a geometry-optimized SrZrRh structure.

a b c (Å): 6.798 6.798 6.798
angles (deg): 90.00 90.00 90.00
Space group F-43m (No. 216)
One atom of each set of equivalent atoms:
Sr1 0.000 0.000 0.000
Zr1 0.000 0.000 0.500
Rh1 0.250 0.250 0.750

Properties
VASP energy: -5.786 eV per atom
Size of the total moment: 0.0 Bohr magnetons per cell
DFT formation energy: 22 kJ/mol of formula units
Energy relative to the lowest polymorph listed for this composition: 51.5 kJ/mol of atoms

=====

No. 11
The following is a DFT calculation (PBE) of a geometry-optimized SrZr2Rh2 structure.

a b c (Å): 4.853 4.853 10.581
angles (deg): 90.00 90.00 90.00
Space group I4/mmm (No. 139)
One atom of each set of equivalent atoms:
Sr1 0.000 0.000 0.000
Zr1 0.000 0.000 0.347
Rh1 0.000 0.500 0.250

Properties
VASP energy: -6.920 eV per atom
Size of the total moment: 2.5 Bohr magnetons per cell
DFT formation energy: -108 kJ/mol of formula units
Energy relative to the lowest polymorph listed for this composition: 14.3 kJ/mol of atoms

=====

No. 12
The following is a DFT calculation (PBE) of a geometry-optimized Sr2ZrRh structure.

a b c (Å): 4.0783 4.0783 29.5304
angles (deg): 90.00 90.00 120.00
Space group R3m (No. 160, hexagonal axes)
One atom of each set of equivalent atoms:
Sr1 0.0000 0.0000 0.0000
Sr2 0.0000 0.0000 0.2045
Zr1 0.0000 0.0000 0.7676
Rh1 0.0000 0.0000 0.4713

Properties
VASP energy: -4.906 eV per atom
Size of the total moment: 0.0 Bohr magnetons per cell
DFT formation energy: -35 kJ/mol of formula units
Energy relative to the lowest polymorph listed for this composition: 6.7 kJ/mol of atoms

=====

No. 13
The following is a DFT calculation (PBE) of a geometry-optimized Sr2ZrRh structure.

a b c (Å): 3.525 4.968 6.308
angles (deg): 90.00 99.80 90.00
Space group P2/m (No. 10)
One atom of each set of equivalent atoms:
Sr1 0.095 0.000 0.271
Zr1 0.500 0.500 0.000
Rh1 0.500 0.500 0.500

Properties
VASP energy: -4.395 eV per atom
Size of the total moment: 0.0 Bohr magnetons per cell
DFT formation energy: 162 kJ/mol of formula units
Energy relative to the lowest polymorph listed for this composition: 56.0 kJ/mol of atoms

=====

No. 14
The following is a DFT calculation (PBE) of a geometry-optimized SrZr2Rh2 structure.

a b c (Å): 8.216 8.216 3.092
angles (deg): 90.00 90.00 90.00
Space group P4/mbm (No. 127)
One atom of each set of equivalent atoms:
Sr1 0.000 0.000 0.000
Zr1 0.139 0.361 0.000
Rh1 0.151 0.651 0.500

Properties
VASP energy: -7.067 eV per atom
Size of the total moment: 0.0 Bohr magnetons per cell
DFT formation energy: -179 kJ/mol of formula units
Energy relative to the lowest polymorph listed for this composition: 0.1 kJ/mol of atoms

=====

No. 15
The following is a DFT calculation (PBE) of a geometry-optimized SrZrRh structure.

a b c (Å): 6.670 6.670 6.670
angles (deg): 90.00 90.00 90.00
Space group F-43m (No. 216)
One atom of each set of equivalent atoms:
Sr1 0.000 0.000 0.000
Zr1 0.250 0.250 0.750
Rh1 0.250 0.250 0.250

Properties
VASP energy: -4.757 eV per atom
Size of the total moment: 0.0 Bohr magnetons per cell
DFT formation energy: 319 kJ/mol of formula units
Energy relative to the lowest polymorph listed for this composition: 150.7 kJ/mol of atoms

=====

No. 16
The following is a DFT calculation (PBE) of a geometry-optimized Sr2ZrRh structure.

a b c (Å): 3.591 4.017 18.528
angles (deg): 90.00 90.00 90.00
Space group Immm (No. 71)
One atom of each set of equivalent atoms:
Sr1 0.000 0.000 0.154
Zr1 0.000 0.500 0.000
Rh1 0.000 0.500 0.500

Properties
VASP energy: -4.885 eV per atom
Size of the total moment: 1.2 Bohr magnetons per cell
DFT formation energy: -27 kJ/mol of formula units
Energy relative to the lowest polymorph listed for this composition: 8.7 kJ/mol of atoms

=====

No. 17
The following is a DFT calculation (PBE) of a geometry-optimized Sr2ZrRh structure.

a b c (Å): 6.143 10.220 3.410
angles (deg): 90.00 90.00 90.00
Space group Cmmm (No. 65)
One atom of each set of equivalent atoms:
Sr1 0.250 0.250 0.000
Zr1 0.000 0.000 0.500
Rh1 0.000 0.500 0.500

Properties
VASP energy: -4.339 eV per atom
Size of the total moment: 0.0 Bohr magnetons per cell
DFT formation energy: 184 kJ/mol of formula units
Energy relative to the lowest polymorph listed for this composition: 61.4 kJ/mol of atoms

=====

No. 18
The following is a DFT calculation (PBE) of a geometry-optimized SrZrRh structure.

a b c (Å): 4.661 4.661 7.527
angles (deg): 90.00 90.00 90.00
Space group P4/nmm (No. 129, origin choice 2)
One atom of each set of equivalent atoms:
Sr1 0.250 0.250 0.140
Zr1 0.250 0.750 0.500
Rh1 0.250 0.250 0.678

Properties
VASP energy: -6.319 eV per atom
Size of the total moment: 0.0 Bohr magnetons per cell
DFT formation energy: -133 kJ/mol of formula units
Energy relative to the lowest polymorph listed for this composition: 0.0 kJ/mol of atoms

=====

No. 19
The following is a DFT calculation (PBE) of a geometry-optimized SrZrRh structure.

a b c (Å): 3.9197 3.9197 6.7027
angles (deg): 90.00 90.00 120.00
Space group P3m1 (No. 156)
One atom of each set of equivalent atoms:
Sr1 0.0000 0.0000 0.0000
Zr1 0.3333 0.6667 0.5059
Rh1 0.6667 0.3333 0.6900

Properties
VASP energy: -5.963 eV per atom
Size of the total moment: 0.0 Bohr magnetons per cell
DFT formation energy: -30 kJ/mol of formula units
Energy relative to the lowest polymorph listed for this composition: 34.4 kJ/mol of atoms

=====

No. 20
The following is a DFT calculation (PBE) of a geometry-optimized Sr2ZrRh structure.

a b c (Å): 7.471 7.471 7.471
angles (deg): 90.00 90.00 90.00
Space group F-43m (No. 216)
One atom of each set of equivalent atoms:
Sr1 0.000 0.000 0.000
Sr2 0.250 0.250 0.250
Zr1 0.250 0.250 0.750
Rh1 0.000 0.000 0.500

Properties
VASP energy: -4.413 eV per atom
Size of the total moment: 0.0 Bohr magnetons per cell
DFT formation energy: 155 kJ/mol of formula units
Energy relative to the lowest polymorph listed for this composition: 54.3 kJ/mol of atoms

=====

No. 21
The following is a DFT calculation (PBE) of a geometry-optimized Sr2ZrRh structure.

a b c (Å): 4.338 4.338 5.497
angles (deg): 90.00 90.00 90.00
Space group P4/mmm (No. 123)
One atom of each set of equivalent atoms:
Sr1 0.000 0.500 0.000
Zr1 0.000 0.000 0.500
Rh1 0.500 0.500 0.500

Properties
VASP energy: -4.420 eV per atom
Size of the total moment: 0.0 Bohr magnetons per cell
DFT formation energy: 153 kJ/mol of formula units
Energy relative to the lowest polymorph listed for this composition: 53.6 kJ/mol of atoms

=====

No. 22
The following is a DFT calculation (PBE) of a geometry-optimized Sr2ZrRh2 structure.

a b c (Å): 7.063 7.063 5.002
angles (deg): 90.00 90.00 90.00
Space group P4/mbm (No. 127)
One atom of each set of equivalent atoms:
Sr1 0.174 0.326 0.000
Zr1 0.000 0.000 0.500
Rh1 0.131 0.631 0.500

Properties
VASP energy: -5.547 eV per atom
Size of the total moment: 0.0 Bohr magnetons per cell
DFT formation energy: -108 kJ/mol of formula units

=====

No. 23
The following is a DFT calculation (PBE) of a geometry-optimized Sr2ZrRh structure.

a b c (Å): 3.595 3.595 9.700
angles (deg): 90.00 90.00 90.00
Space group P4mm (No. 99)
One atom of each set of equivalent atoms:
Sr1 0.000 0.000 0.000
Sr2 0.500 0.500 0.376
Zr1 0.000 0.000 0.659
Rh1 0.500 0.500 0.764

Properties
VASP energy: -4.957 eV per atom
Size of the total moment: 0.3 Bohr magnetons per cell
DFT formation energy: -54 kJ/mol of formula units
Energy relative to the lowest polymorph listed for this composition: 1.8 kJ/mol of atoms

=====

No. 24
The following is a DFT calculation (PBE) of a geometry-optimized TaRh structure.

a b c (Å): 2.817 4.620 5.009
angles (deg): 90.00 90.00 90.00
Space group Pmmn (No. 59, origin choice 2)
One atom of each set of equivalent atoms:
Ta1 0.250 0.250 0.132
Rh1 0.250 0.750 0.383

Properties
VASP energy: -9.876 eV per atom
Size of the total moment: 0.0 Bohr magnetons per cell
DFT formation energy: -53 kJ/mol of formula units

=====

No. 25
The following is a DFT calculation (PBE) of a geometry-optimized Ta3Rh2 structure.

a b c (Å): 9.887 9.887 5.113
angles (deg): 90.00 90.00 90.00
Space group P4_2/mnm (No. 136)
One atom of each set of equivalent atoms:
Ta1 0.000 0.000 0.000
Ta2 0.040 0.363 0.500
Ta3 0.182 0.818 0.251
Rh1 0.071 0.267 0.000
Rh2 0.098 0.098 0.500

Properties
VASP energy: -10.411 eV per atom
Size of the total moment: 0.0 Bohr magnetons per cell
DFT formation energy: -173 kJ/mol of formula units
Energy relative to the lowest polymorph listed for this composition: 0.0 kJ/mol of atoms

=====

No. 26
The following is a DFT calculation (PBE) of a geometry-optimized TaRh structure.

a b c (Å): 6.734 8.148 10.196
angles (deg): 90.00 90.00 90.00
Space group Fddd (No. 70, origin choice 2)
One atom of each set of equivalent atoms:
Ta1 0.125 0.331 0.125
Rh1 0.079 0.375 0.875

Properties
VASP energy: -9.684 eV per atom
Size of the total moment: 0.0 Bohr magnetons per cell
DFT formation energy: -16 kJ/mol of formula units